1.
{"formula": "PmHfMg", "functional": "GGA-PBE", "state": "optimized geometry", "spacegroup": "I4mm", "formation_enthalpy_0k_ev_per_atom": 0.090, "final_energy_ev_per_atom": -5.343, "dos_at_fermi_per_ev_cell": 1.5, "vol_a3_per_atom": 26.068, "de_polymorph_ev_per_atom": 0.000, "lattice_angstrom": [[-0.441, -2.529, 2.169], [-0.186, -2.166, -2.563], [7.165, 1.408, 0.494]], "species": ["Hf", "Pm", "Mg"], "fractional_positions": [[0.661, 0.661, 0.322], [0.328, 0.328, 0.655], [0.012, 0.012, 0.023]]}



2.
{"formula": "Hg2S2Br", "functional": "GGA-PBE", "state": "optimized geometry", "spacegroup": "P-1", "final_energy_ev_per_atom": -2.258, "vol_a3_per_atom": 30.077, "e_form_raw_ev_per_atom": -0.15, "lattice_angstrom": [[7.650, 1.064, -0.395], [4.628, 7.093, 0.516], [3.662, 1.330, 6.002]], "species": ["Hg", "Hg", "Hg", "Hg", "S", "S", "S", "S", "Br", "Br"], "fractional_positions": [[0.110, 0.850, 0.776], [0.573, 0.854, 0.818], [0.427, 0.146, 0.182], [0.890, 0.150, 0.224], [0.712, 0.075, 0.732], [0.288, 0.925, 0.268], [0.477, 0.419, 0.168], [0.523, 0.581, 0.832], [0.134, 0.217, 0.692], [0.866, 0.783, 0.308]]}



3.
{"formula": "Ba8Ge3HI4", "functional": "GGA-PBE", "state": "optimized geometry", "spacegroup": "C2/m", "final_energy_ev_per_atom": -3.396, "dos_at_fermi_per_ev_cell": 9.9, "vol_a3_per_atom": 42.826, "lattice_angstrom": [[9.603, 0.000, 0.000], [0.000, 10.205, 0.410], [-4.802, -4.804, 6.799]], "species": ["Ba", "Ba", "Ba", "Ba", "Ba", "Ba", "Ba", "Ba", "Ge", "Ge", "Ge", "I", "I", "I", "I", "H"], "fractional_positions": [[0.237, 0.705, 0.968], [0.762, 0.294, 0.524], [0.731, 0.705, 0.968], [0.238, 0.706, 0.476], [0.261, 0.284, 0.523], [0.763, 0.295, 0.032], [0.739, 0.716, 0.477], [0.269, 0.295, 0.032], [0.000, 0.500, 0.500], [0.500, 0.500, 0.000], [0.500, 0.500, 0.500], [0.500, 0.000, 0.000], [0.500, 0.000, 0.500], [0.000, 0.000, 0.000], [0.000, 0.000, 0.500], [0.000, 0.500, 0.000]]}



4.
{"formula": "YMgGaAg", "functional": "GGA-PBE", "state": "optimized geometry", "spacegroup": "F-43m", "formation_enthalpy_0k_ev_per_atom": -0.418, "final_energy_ev_per_atom": -3.902, "dos_at_fermi_per_ev_cell": 2.0, "vol_a3_per_atom": 20.930, "lattice_angstrom": [[4.910, 0.000, 0.000], [2.455, 4.252, 0.000], [2.455, 1.417, 4.009]], "species": ["Y", "Ag", "Ga", "Mg"], "fractional_positions": [[0.750, 0.750, 0.750], [0.000, 0.000, 0.000], [0.500, 0.500, 0.500], [0.250, 0.250, 0.250]]}